Compound: Li2Pa2PN6
Source: the Alexandria database
Functional: PBE-GGA
Structure: relaxed

Cell and atoms, written as extended XYZ:
```
11
Lattice="-4.827 -1.060 -3.101 1.373 -2.966 4.833 -2.111 4.001 2.611" Properties=species:S:1:pos:R:3 pbc="T T T"
N -4.276 -0.377 3.251
N -1.140 1.685 3.392
N -4.425 -1.710 0.951
N -3.103 2.289 0.879
N -2.462 -2.314 3.464
N -1.289 0.352 1.092
P -1.055 2.000 1.305
Pa -1.803 -0.314 3.425
Pa -3.762 0.289 0.918
Li 0.613 -2.732 3.861
Li -4.067 -1.293 -2.128
```

Calculated values
Space-group type = C2/m
Raw formation energy = -602 meV/atom
M_tot = 0.000 μB per formula unit

=====

Compound: SrFeBTe2
Source: the Alexandria database
Functional: PBE-GGA
Structure: relaxed

Cell and atoms, written as extended XYZ:
```
5
Lattice="-3.375 -4.051 1.421 2.929 -1.733 2.015 -1.441 2.772 4.479" Properties=species:S:1:pos:R:3 pbc="T T T"
Sr -0.944 -1.506 3.957
B 1.464 -0.867 1.008
Fe 0.000 0.000 0.000
Te -0.721 1.386 2.239
Te -1.688 -2.025 0.710
```

Calculated values
Space-group type = P4/mmm
Raw formation energy = -104 meV/atom
M_tot = 2.080 μB per formula unit

=====

Compound: CsScCrI6
Source: the Alexandria database
Functional: PBE-GGA
Structure: relaxed

Cell and atoms, written as extended XYZ:
```
9
Lattice="-1.533 -0.823 -7.296 1.377 -6.539 -3.408 -8.087 -2.750 2.009" Properties=species:S:1:pos:R:3 pbc="T T T"
I -6.229 -6.836 -8.040
I -6.022 -4.847 -4.486
I -3.534 -4.112 -7.919
I -4.766 -8.720 -4.732
I -2.112 -7.895 -7.372
I -2.221 -5.285 -4.240
Cr -4.147 -6.283 -6.132
Cs -9.619 -3.573 -5.287
Sc -4.095 -3.829 -2.563
```

Calculated values
Space-group type = P312
Raw formation energy = -972 meV/atom
M_tot = 4.000 μB per formula unit

=====

Compound: TaTe2I
Source: the Alexandria database
Functional: PBE-GGA
Structure: relaxed

Cell and atoms, written as extended XYZ:
```
4
Lattice="3.384 -1.035 0.256 -0.816 3.448 0.161 1.481 1.604 11.392" Properties=species:S:1:pos:R:3 pbc="T T T"
Te 1.430 0.704 3.659
Te 3.024 0.868 7.557
I 3.280 2.573 11.251
Ta 2.196 2.788 1.981
```

Calculated values
Space-group type = P1
Raw formation energy = -46 meV/atom
M_tot = 0.000 μB per formula unit
ΔE to the lowest computed polymorph = 0.185 eV/atom

=====

Compound: ScCdTeN2
Source: the Alexandria database
Functional: PBE-GGA
Structure: relaxed

Cell and atoms, written as extended XYZ:
```
5
Lattice="4.278 0.000 0.000 0.000 4.278 0.000 0.000 0.000 5.966" Properties=species:S:1:pos:R:3 pbc="T T T"
N 2.139 0.000 0.000
N 0.000 2.139 0.000
Sc 0.000 0.000 0.000
Te 0.000 0.000 2.983
Cd 2.139 2.139 2.983
```

Calculated values
Space-group type = P4/mmm
Raw formation energy = 519 meV/atom
M_tot = 3.102 μB per formula unit
ΔE to the lowest computed polymorph = 0.000 eV/atom

=====

Compound: SmCd6Au6
Source: the Alexandria database
Functional: PBE-GGA
Structure: relaxed

Cell and atoms, written as extended XYZ:
```
13
Lattice="-3.903 0.383 -4.288 5.402 -1.812 -1.141 -2.658 -8.945 1.621" Properties=species:S:1:pos:R:3 pbc="T T T"
Cd -1.237 -7.399 -1.503
Cd 0.078 -2.975 -2.305
Cd -2.623 -2.069 -1.734
Cd -3.938 -6.493 -0.932
Cd 0.715 -7.591 0.641
Cd 2.030 -3.166 -0.161
Au -1.803 -6.066 1.100
Au -0.856 -2.879 0.522
Au -2.131 -4.821 -2.429
Au 0.971 -5.553 -1.380
Au 2.300 -1.081 -2.190
Au -0.801 -0.349 -3.239
Sm 0.000 0.000 0.000
```

Calculated values
DFT formation energy = -240 meV/atom
Space-group type = P6/mmm
M_tot = 0.000 μB per formula unit

=====

Compound: Ac6S2N3O
Source: the Alexandria database
Functional: PBE-GGA
Structure: relaxed

Cell and atoms, written as extended XYZ:
```
12
Lattice="-0.133 -2.807 2.832 3.594 -5.285 -5.069 6.746 5.392 2.852" Properties=species:S:1:pos:R:3 pbc="T T T"
Ac 4.193 -3.346 -0.309
Ac 2.405 -0.384 2.543
Ac 7.415 1.226 4.375
Ac 7.802 -2.316 -1.929
Ac 2.791 -3.926 -3.760
Ac 6.014 0.646 0.923
N 5.182 -3.134 -2.863
N 1.730 -4.046 -1.119
N 5.025 0.434 3.477
O -0.067 -1.403 1.416
S 3.439 -0.435 -0.269
S 6.768 -2.265 0.883
```

Calculated values
Space-group type = C2/m
Raw formation energy = -1637 meV/atom
M_tot = 0.000 μB per formula unit

=====

Compound: LiDyThRh
Source: the Alexandria database
Functional: PBE-GGA
Structure: relaxed

Cell and atoms, written as extended XYZ:
```
4
Lattice="-0.869 -4.776 -1.307 3.646 -3.433 0.450 -0.319 -3.557 3.539" Properties=species:S:1:pos:R:3 pbc="T T T"
Li 0.000 0.000 0.000
Th 0.615 -2.941 0.670
Dy 1.844 -8.824 2.011
Rh 1.229 -5.883 1.341
```

Calculated values
DFT formation energy = -346 meV/atom
Space-group type = F-43m
M_tot = 0.000 μB per formula unit

=====

Compound: InAsBr2
Source: the Alexandria database
Functional: PBE-GGA
Structure: relaxed

Cell and atoms, written as extended XYZ:
```
4
Lattice="2.006 0.000 10.214 -1.003 1.738 10.214 -1.003 -1.738 10.214" Properties=species:S:1:pos:R:3 pbc="T T T"
As 0.000 0.000 15.320
In 0.000 0.000 0.000
Br 0.000 0.000 2.937
Br 0.000 0.000 27.704
```

Calculated values
Space-group type = R-3m
Raw formation energy = 138 meV/atom
M_tot = 0.000 μB per formula unit
ΔE to the lowest computed polymorph = 0.460 eV/atom

=====

Compound: Tb4NdDy6
Source: the Alexandria database
Functional: PBE-GGA
Structure: relaxed

Cell and atoms, written as extended XYZ:
```
22
Lattice="-4.707 -2.832 -1.677 4.855 -0.641 -2.708 6.140 -19.448 15.611" Properties=species:S:1:pos:R:3 pbc="T T T"
Tb 3.057 -4.258 -1.387
Tb 4.638 -9.269 2.635
Tb 2.711 -13.392 5.173
Tb 3.577 -9.529 6.053
Tb 1.029 -1.458 -0.426
Tb 1.650 -13.653 8.591
Tb 5.259 -21.463 11.652
Tb 3.232 -18.663 12.612
Dy 4.683 -12.526 8.011
Dy -2.353 -1.416 -0.839
Dy 3.654 -16.161 7.201
Dy 4.503 -18.849 9.358
Dy 2.399 -16.124 10.661
Dy -0.206 -4.657 -1.391
Dy 1.785 -4.073 1.868
Dy 0.717 -11.140 6.967
Dy 2.634 -6.761 4.025
Dy 6.494 -18.264 12.617
Dy 3.889 -6.798 0.565
Dy 1.606 -10.396 3.215
Nd 0.710 -7.535 0.897
Nd 5.578 -15.386 10.329
```

Calculated values
DFT formation energy = 123 meV/atom
Space-group type = Cmcm
M_tot = 0.000 μB per formula unit
ΔE to the lowest computed polymorph = 0.000 eV/atom

=====

Compound: CeTePt4
Source: the Alexandria database
Functional: PBE-GGA
Structure: relaxed

Cell and atoms, written as extended XYZ:
```
6
Lattice="5.468 0.000 0.000 2.734 4.735 0.000 2.734 1.578 4.464" Properties=species:S:1:pos:R:3 pbc="T T T"
Te 0.000 0.000 0.000
Ce 2.734 1.578 1.116
Pt 5.468 3.157 0.560
Pt 6.833 3.945 2.790
Pt 5.468 1.581 2.790
Pt 4.103 3.945 2.790
```

Calculated values
Space-group type = F-43m
Raw formation energy = -645 meV/atom
M_tot = 0.000 μB per formula unit

=====

Compound: Ca2GaHg
Source: the Alexandria database
Functional: PBE-GGA
Structure: relaxed

Cell and atoms, written as extended XYZ:
```
4
Lattice="3.737 0.000 0.000 0.000 3.737 0.000 0.000 0.000 7.478" Properties=species:S:1:pos:R:3 pbc="T T T"
Ca 0.000 0.000 5.670
Ca 0.000 0.000 1.809
Ga 1.868 1.868 0.000
Hg 1.868 1.868 3.739
```

Calculated values
DFT formation energy = -503 meV/atom
Space-group type = P4/mmm
M_tot = 0.000 μB per formula unit